[1]
A relaxed structure of Ba6Na23Tl, computed with GGA-PBE.

Unit cell a=17.2154 b=17.2154 c=17.2154 alpha=90.00 beta=90.00 gamma=90.00
Last column: nearest neighbours and their distance in Å.
Space group Fm-3m (No. 225)
Asymmetric unit:
Ba1 0.0000 0.0000 0.2022 x24  1 Tl 3.48
Na1 0.0000 0.0000 0.5000 x4  8 Na 3.54
Na2 0.0000 0.2500 0.2500 x24  8 Na 3.52-3.79
Na3 0.1188 0.1188 0.3812 x32  7 Na 3.54-3.83
Na4 0.1720 0.1720 0.1720 x32  9 Na 3.52-3.83
Tl1 0.0000 0.0000 0.0000 x4  6 Ba 3.48

***

[2]
A relaxed structure of CdReSb, computed with GGA-PBE.

Unit cell a=4.9137 b=4.9137 c=2.8389 alpha=90.00 beta=90.00 gamma=120.00
Last column: nearest neighbours and their distance in Å.
Space group P-6m2 (No. 187)
Asymmetric unit:
Cd1 0.0000 0.0000 0.0000 x1  2 Cd 2.84, 6 Re 3.17, 6 Sb 3.17
Re1 0.6667 0.3333 0.5000 x1  3 Sb 2.84, 2 Re 2.84, 6 Cd 3.17
Sb1 0.3333 0.6667 0.5000 x1  3 Re 2.84, 2 Sb 2.84, 6 Cd 3.17

The energy relative to the elements, uncorrected is 0.7454 eV/atom. Its excess energy over the best structure of this formula in the dataset is 0.243 eV per atom.

***

[3]
A relaxed structure of Ho4Tl3Te8, computed with GGA-PBE.

Unit cell a=12.7873 b=12.6521 c=8.8750 alpha=90.00 beta=133.69 gamma=90.00
Last column: nearest neighbours and their distance in Å.
Space group C2/m (No. 12)
Asymmetric unit:
Ho1 0.0000 0.0000 0.0000 x2  6 Te 3.07-3.15
Ho2 0.0000 0.0000 0.5000 x2  6 Te 3.04-3.10
Ho3 0.2500 0.2500 0.0000 x4  6 Te 3.17-3.21
Tl1 0.0000 0.5000 0.5000 x2  6 Te 3.28-3.36
Tl2 0.2500 0.2500 0.5000 x4  6 Te 3.17-3.21
Te1 0.0000 0.2405 0.5000 x4  3 Ho 3.04-3.21, 3 Tl 3.20-3.28
Te2 0.0000 0.2458 0.0000 x4  3 Ho 3.11-3.20, 2 Tl 3.21
Te3 0.2273 0.0000 0.4790 x4  2 Ho 3.04-3.07, 3 Tl 3.17-3.36
Te4 0.2378 0.0000 0.9829 x4  4 Ho 3.10-3.17, 1 Tl 3.32

The energy relative to the elements, uncorrected is -0.9465 eV/atom.

***

[4]
A relaxed structure of Tl2FeTc, computed with GGA-PBE.

Unit cell a=4.0416 b=4.0416 c=9.1904 alpha=90.00 beta=90.00 gamma=90.00
Last column: nearest neighbours and their distance in Å.
Space group I-4m2 (No. 119)
Asymmetric unit:
Tl1 0.0000 0.0000 0.0000 x2  4 Tc 2.86, 4 Tl 3.06, 4 Fe 3.06
Tl2 0.0000 0.5000 0.2500 x2  4 Fe 2.86, 4 Tl 3.06, 4 Tc 3.06
Fe1 0.0000 0.5000 0.7500 x2  8 Tl 2.86-3.06, 4 Tc 3.06
Tc1 0.0000 0.0000 0.5000 x2  8 Tl 2.86-3.06, 4 Fe 3.06

Its excess energy over the best structure of this formula in the dataset is 0.317 eV per atom.

***

[5]
A relaxed structure of Th4ScP5, computed with GGA-PBE.

Unit cell a=9.1129 b=9.1129 c=5.8015 alpha=90.00 beta=90.00 gamma=90.00
Last column: nearest neighbours and their distance in Å.
Space group I4/m (No. 87)
Asymmetric unit:
Th1 0.0978 0.6998 0.0000 x8  6 P 2.88-2.97
Sc1 0.0000 0.0000 0.5000 x2  6 P 2.77-2.90
P1 0.0000 0.0000 0.0000 x2  4 Th 2.88, 2 Sc 2.90
P2 0.0971 0.7119 0.5000 x8  1 Sc 2.77, 5 Th 2.89-2.97

***

[6]
A relaxed structure of Ac2TeBr, computed with GGA-PBE.

Unit cell a=4.2330 b=4.2330 c=27.6829 alpha=90.00 beta=90.00 gamma=120.00
Last column: nearest neighbours and their distance in Å.
Space group R3m (No. 160, hexagonal axes)
Asymmetric unit:
Ac1 0.0000 0.0000 0.0000 x3  3 Te 3.32, 3 Br 3.43
Ac2 0.0000 0.0000 0.1724 x3  3 Te 3.30, 3 Br 3.40
Te1 0.0000 0.0000 0.5857 x3  6 Ac 3.30-3.32
Br1 0.0000 0.0000 0.4201 x3  6 Ac 3.40-3.43

The energy relative to the elements, uncorrected is -1.2585 eV/atom. Its excess energy over the best structure of this formula in the dataset is 0.026 eV per atom.

***

[7]
A relaxed structure of Rb3NpCr2Te6, computed with GGA-PBE.

Unit cell a=7.4676 b=12.9243 c=8.8404 alpha=90.00 beta=106.50 gamma=90.00
Last column: nearest neighbours and their distance in Å.
Space group C2/m (No. 12)
Asymmetric unit:
Rb1 0.0000 0.0000 0.0000 x2  6 Te 3.54-3.74
Rb2 0.0000 0.3409 0.0000 x4  6 Te 3.57-3.76
Np1 0.0000 0.5000 0.5000 x2  6 Te 3.11-3.12
Cr1 0.0000 0.1671 0.5000 x4  6 Te 2.84-2.85
Te1 0.1981 0.0000 0.6803 x4  2 Cr 2.84, 1 Np 3.11
Te2 0.2424 0.3188 0.6826 x8  2 Cr 2.84-2.85, 1 Np 3.12

The energy relative to the elements, uncorrected is -0.5976 eV/atom.

***

[8]
A relaxed structure of Tb2GaSi4Ir3, computed with GGA-PBE.

Unit cell a=4.1236 b=4.1236 c=10.1179 alpha=90.00 beta=90.00 gamma=90.00
Last column: nearest neighbours and their distance in Å.
Space group P-4m2 (No. 115)
Asymmetric unit:
Tb1 0.0000 0.5000 0.2425 x2  8 Si 3.14-3.20, 6 Ir 3.15-3.32, 2 Ga 3.32
Ga1 0.0000 0.0000 0.5000 x1  4 Si 2.52
Si1 0.0000 0.0000 0.0000 x1  4 Ir 2.41
Si2 0.0000 0.5000 0.6434 x2  3 Ir 2.35-2.52, 2 Ga 2.52
Si3 0.5000 0.5000 0.0000 x1  4 Ir 2.41
Ir1 0.0000 0.5000 0.8761 x2  5 Si 2.35-2.41
Ir2 0.5000 0.5000 0.5000 x1  4 Si 2.52

The energy relative to the elements, uncorrected is -0.8785 eV/atom.

***

Number 1: N(E_F) 77.8 states/eV per cell, raw total energy -1.51 eV/atom, total moment 0.0 Bohr magnetons per cell. Number 2: N(E_F) 2.4 states/eV per cell, raw total energy -5.08 eV/atom, total moment 0.0 Bohr magnetons per cell. Number 3: N(E_F) 11.7 states/eV per cell, raw total energy -4.32 eV/atom, total moment 0.0 Bohr magnetons per cell. Number 4: N(E_F) 5.8 states/eV per cell, raw total energy -5.11 eV/atom, total moment 8.8 Bohr magnetons per cell. Number 5: N(E_F) 10.7 states/eV per cell, raw total energy -7.81 eV/atom, total moment 0.0 Bohr magnetons per cell. Number 6: N(E_F) 12.1 states/eV per cell, raw total energy -4.52 eV/atom, total moment 0.0 Bohr magnetons per cell. Number 7: N(E_F) 17.3 states/eV per cell, raw total energy -5.09 eV/atom, total moment 5.0 Bohr magnetons per cell. Number 8: N(E_F) 5.2 states/eV per cell, raw total energy -6.93 eV/atom, total moment 0.0 Bohr magnetons per cell.